# 1
# Rb2MnH12S2O14 | Alexandria via LeMat-Bulk | SCAN | PBEsol geometry
data_Rb2MnH12S2O14
_symmetry_space_group_name_H-M 'P 1 21/c 1'
_symmetry_Int_Tables_number 14
_cell_length_a 6.244
_cell_length_b 12.398
_cell_length_c 9.143
_cell_angle_alpha 90.00
_cell_angle_beta 104.94
_cell_angle_gamma 90.00
loop_
_symmetry_equiv_pos_as_xyz
'x,y,z'
'-x,-y,-z'
'-x,y+1/2,-z+1/2'
'x,-y+1/2,z+1/2'
loop_
_atom_site_label
_atom_site_fract_x
_atom_site_fract_y
_atom_site_fract_z
Rb1 0.160 0.153 0.366
Mn1 0.500 0.000 0.000
H1 0.154 0.565 0.606
H2 0.169 0.649 0.476
H3 0.174 0.095 0.778
H4 0.411 0.129 0.749
H5 0.414 0.602 0.216
H6 0.479 0.694 0.344
S1 0.225 0.637 0.904
O1 0.084 0.732 0.915
O2 0.103 0.568 0.775
O3 0.198 0.571 0.508
O4 0.267 0.572 0.044
O5 0.330 0.117 0.828
O6 0.439 0.674 0.876
O7 0.487 0.118 0.180
# **Total DFT energy (no corrections)**: -505.732 eV/cell
# **Crystal system**: monoclinic
# **Spin magnetization**: 5.00 μB/f.u.

***

# 2
# MnH2SO4 | Alexandria via LeMat-Bulk | SCAN | PBEsol geometry
data_MnH2SO4
_symmetry_space_group_name_H-M 'P 1 21/c 1'
_symmetry_Int_Tables_number 14
_cell_length_a 4.810
_cell_length_b 11.724
_cell_length_c 7.326
_cell_angle_alpha 90.00
_cell_angle_beta 126.03
_cell_angle_gamma 90.00
loop_
_symmetry_equiv_pos_as_xyz
'x,y,z'
'-x,-y,-z'
'-x,y+1/2,-z+1/2'
'x,-y+1/2,z+1/2'
loop_
_atom_site_label
_atom_site_fract_x
_atom_site_fract_y
_atom_site_fract_z
Mn1 0.153 0.219 0.293
H1 0.204 0.608 0.085
H2 0.224 0.513 0.247
S1 0.291 0.599 0.715
O1 0.008 0.178 0.969
O2 0.150 0.593 0.194
O3 0.361 0.657 0.932
O4 0.399 0.128 0.785
# **Total DFT energy (no corrections)**: -284.665 eV/cell
# **Crystal system**: monoclinic
# **Spin magnetization**: 5.00 μB/f.u.